(1)
Zr2CoAg | SCAN | single point on PBEsol structure

abc: 4.528 4.528 4.528
angles: 60.00 60.00 60.00
Fractional positions:
Ag (0.500, 0.500, 0.500)
Co (0.250, 0.250, 0.250)
Zr (0.000, 0.000, 0.000)
Zr (0.750, 0.750, 0.750)

Output
SG	F-43m (216)
raw total energy	-27.36	eV per atom
theoretical density	8.84	Mg/m³
total moment	0.00	μB per formula unit
energy relative to the elements	157	meV/atom
polymorph energy (0 for the lowest one)	349	meV per atom

(2)
ZrCoAg | SCAN | single point on PBEsol structure

abc: 4.223 4.223 4.223
angles: 60.00 60.00 60.00
Fractional positions:
Ag (0.500, 0.500, 0.500)
Co (0.250, 0.250, 0.250)
Zr (0.000, 0.000, 0.000)

Output
SG	F-43m (216)
raw total energy	-26.21	eV per atom
theoretical density	8.05	Mg/m³
total moment	0.00	μB per formula unit
energy relative to the elements	243	meV/atom

(3)
ZrCo2Ag | SCAN | single point on PBEsol structure

abc: 4.292 4.296 4.292
angles: 60.04 90.00 119.96
Last column: magnetic moment on the atom in μB.
Fractional positions:
Co (0.250, 0.500, 0.250)  1.50
Co (0.750, 0.500, 0.750)  1.50
Zr (0.000, 0.000, 0.000)  -0.33
Ag (0.500, 0.000, 0.500)  0.01

Output
SG	Fm-3m (225)
raw total energy	-24.11	eV per atom
theoretical density	9.40	Mg/m³
total moment	2.56	μB per formula unit
energy relative to the elements	62	meV/atom
polymorph energy (0 for the lowest one)	0	meV per atom

(4)
Zr2CoAg | SCAN | single point on PBEsol structure

abc: 3.014 3.014 7.587
angles: 90.00 90.00 90.00
Last column: magnetic moment on the atom in μB.
Fractional positions:
Co (0.500, 0.500, 0.500)  1.39
Ag (0.500, 0.500, 0.000)  0.03
Zr (0.000, 0.000, 0.718)  -0.04
Zr (0.000, 0.000, 0.282)  -0.04

Output
SG	P4/mmm (123)
raw total energy	-27.71	eV per atom
theoretical density	8.41	Mg/m³
total moment	1.33	μB per formula unit
energy relative to the elements	-192	meV/atom
polymorph energy (0 for the lowest one)	0	meV per atom

(5)
CrAg3 | SCAN | single point on PBEsol structure

abc: 2.952 4.617 4.815
angles: 90.00 90.00 90.00
Last column: magnetic moment on the atom in μB.
Fractional positions:
Ag (0.000, 0.000, 0.994)  0.01
Ag (0.500, 0.000, 0.490)  0.05
Ag (0.500, 0.500, 0.841)  0.06
Cr (0.000, 0.500, 0.342)  3.96

Output
SG	Pmm2 (25)
raw total energy	-27.96	eV per atom
theoretical density	9.50	Mg/m³
total moment	4.44	μB per formula unit
energy relative to the elements	165	meV/atom

(6)
CrAg2 | SCAN | single point on PBEsol structure

abc: 2.818 2.818 12.863
angles: 96.29 96.29 90.00
Last column: magnetic moment on the atom in μB.
Fractional positions:
Ag (0.673, 0.173, 0.345)  0.04
Ag (0.827, 0.327, 0.655)  0.04
Ag (0.423, 0.423, 0.845)  0.04
Ag (0.577, 0.577, 0.155)  0.04
Cr (0.000, 0.000, 0.000)  3.83
Cr (0.250, 0.750, 0.500)  3.83

Output
SG	I4_1/amd (141)
raw total energy	-26.72	eV per atom
theoretical density	8.81	Mg/m³
total moment	4.22	μB per formula unit
energy relative to the elements	322	meV/atom

(7)
Cr3Ag2 | SCAN | single point on PBEsol structure

abc: 2.785 2.785 10.856
angles: 82.63 82.63 60.00
Last column: magnetic moment on the atom in μB.
Fractional positions:
Ag (0.404, 0.404, 0.787)  0.06
Ag (0.596, 0.596, 0.213)  0.06
Cr (0.000, 0.000, 0.000)  3.71
Cr (0.190, 0.190, 0.431)  0.04
Cr (0.810, 0.810, 0.569)  0.04

Output
SG	R-3m (166)
raw total energy	-23.09	eV per atom
theoretical density	8.56	Mg/m³
total moment	4.23	μB per formula unit
energy relative to the elements	491	meV/atom

(8)
CrAg | SCAN | single point on PBEsol structure

abc: 2.736 3.637 5.966
angles: 90.00 90.00 90.00
Fractional positions:
Ag (0.000, 0.000, 0.635)
Ag (0.500, 0.500, 0.365)
Cr (0.000, 0.500, 0.964)
Cr (0.500, 0.000, 0.036)

Output
SG	Pmmn (59)
raw total energy	-24.16	eV per atom
theoretical density	8.94	Mg/m³
total moment	0.00	μB per formula unit
energy relative to the elements	712	meV/atom

Copy entry 6 word for word.
CrAg2 | SCAN | single point on PBEsol structure

abc: 2.818 2.818 12.863
angles: 96.29 96.29 90.00
Last column: magnetic moment on the atom in μB.
Fractional positions:
Ag (0.673, 0.173, 0.345)  0.04
Ag (0.827, 0.327, 0.655)  0.04
Ag (0.423, 0.423, 0.845)  0.04
Ag (0.577, 0.577, 0.155)  0.04
Cr (0.000, 0.000, 0.000)  3.83
Cr (0.250, 0.750, 0.500)  3.83

Output
SG	I4_1/amd (141)
raw total energy	-26.72	eV per atom
theoretical density	8.81	Mg/m³
total moment	4.22	μB per formula unit
energy relative to the elements	322	meV/atom

> The highest total moment belongs to which entry?

CrAg3

> Look up the energy relative to the elements of the third one.

62 meV/atom

> Number 3 is which compound?

ZrCo2Ag